# 1
Pt2RhCl after structural relaxation. Source: Alexandria via LeMat-Bulk, functional PBE-GGA.

The structure belongs to space group R3m (No. 160, hexagonal axes); the cell edges are 2.9122, 2.9122 and 26.0054 Å and the angles 90.00°, 90.00° and 120.00°. The inequivalent atoms are Pt at (0.0000, 0.0000, 0.0000), Pt at (0.0000, 0.0000, 0.2477), Rh at (0.0000, 0.0000, 0.7468) and Cl at (0.0000, 0.0000, 0.4855).

For the total energy, the calculation gives -5.067 eV/atom. The calculation puts the uncorrected formation energy at 253 meV per atom.



# 2
EuThTlSn after structural relaxation. Source: Alexandria via LeMat-Bulk, functional PBE-GGA.

The structure belongs to space group F-43m (No. 216); the cell edges are 7.816, 7.816 and 7.816 Å and the angles 90.00°, 90.00° and 90.00°. The inequivalent atoms are Eu at (0.000, 0.000, 0.000), Th at (0.000, 0.000, 0.500), Tl at (0.250, 0.250, 0.750) and Sn at (0.250, 0.250, 0.250).

For the total energy, the calculation gives -6.351 eV/atom. For the formation energy, the calculation gives -335 meV/atom.



Please write out number 1 again, unchanged.
Pt2RhCl after structural relaxation. Source: Alexandria via LeMat-Bulk, functional PBE-GGA.

The structure belongs to space group R3m (No. 160, hexagonal axes); the cell edges are 2.9122, 2.9122 and 26.0054 Å and the angles 90.00°, 90.00° and 120.00°. The inequivalent atoms are Pt at (0.0000, 0.0000, 0.0000), Pt at (0.0000, 0.0000, 0.2477), Rh at (0.0000, 0.0000, 0.7468) and Cl at (0.0000, 0.0000, 0.4855).

For the total energy, the calculation gives -5.067 eV/atom. The calculation puts the uncorrected formation energy at 253 meV per atom.